# 1
Computed, not measured: a geometry-optimized NaDyInPd structure at the GGA-PBE level of DFT.

Values from the calculation:
ΔE_f ... -390 meV per atom
ρ ... 7.9 g cm⁻³
Final energy ... -3.85 eV per atom

Cell: 6.9880 6.9880 6.9880 Å, 90.00 90.00 90.00°
Space group F-43m (No. 216)
Asymmetric unit:
Na 0.0000 0.0000 0.0000
Dy 0.2500 0.2500 0.7500
In 0.2500 0.2500 0.2500
Pd 0.0000 0.0000 0.5000

***

# 2
Computed, not measured: a geometry-optimized Zr3Al3Si structure at the GGA-PBE level of DFT.

Values from the calculation:
Uncorrected formation energy ... -0.20 eV per atom
ρ ... 4.7 g cm⁻³
Final energy ... -6.24 eV per atom
Energy above the most stable polymorph in this dataset ... 229 meV per atom

Cell: 7.5360 5.1604 7.6238 Å, 90.00 113.44 90.00°
Space group P2_1/m (No. 11)
Asymmetric unit:
Zr 0.0306 0.2500 0.1911
Zr 0.2639 0.2500 0.9460
Zr 0.3307 0.7500 0.1905
Al 0.0924 0.7500 0.4387
Al 0.3383 0.7500 0.8094
Al 0.4514 0.2500 0.3882
Si 0.2571 0.2500 0.5807